Entry from Alexandria via LeMat-Bulk: an optimized crystal structure of TaTi2Au (GGA-PBE).

Cell: 2.9692 2.9692 27.8605 Å, 90.00 90.00 120.00°
Last column: nearest neighbours and their distance in Å.
Element x y z (fractional)
Ta (0.0000, 0.0000, 0.0000)  6 Ti 2.88-2.90, 6 Ta 2.97
Ta (0.3333, 0.6667, 0.6667)  6 Ti 2.88-2.90, 6 Ta 2.97
Ta (0.6667, 0.3333, 0.3333)  6 Ti 2.88-2.90, 6 Ta 2.97
Ti (0.0000, 0.0000, 0.5834)  3 Au 2.86, 3 Ta 2.88, 6 Ti 2.97
Ti (0.0000, 0.0000, 0.7505)  3 Ta 2.90, 3 Au 2.90, 6 Ti 2.97
Ti (0.3333, 0.6667, 0.2501)  3 Au 2.86, 3 Ta 2.88, 6 Ti 2.97
Ti (0.3333, 0.6667, 0.4172)  3 Ta 2.90, 3 Au 2.90, 6 Ti 2.97
Ti (0.6667, 0.3333, 0.0838)  3 Ta 2.90, 3 Au 2.90, 6 Ti 2.97
Ti (0.6667, 0.3333, 0.9167)  3 Au 2.86, 3 Ta 2.88, 6 Ti 2.97
Au (0.0000, 0.0000, 0.1678)  6 Ti 2.86-2.90, 6 Au 2.97
Au (0.3333, 0.6667, 0.8344)  6 Ti 2.86-2.90, 6 Au 2.97
Au (0.6667, 0.3333, 0.5011)  6 Ti 2.86-2.90, 6 Au 2.97

Computed properties:
Energy in eV per atom: -7.773
Relative energy among the computed polymorphs in meV/atom: 195
Crystal system: trigonal
Calculated density in kg/m3: 11092
DFT formation energy in kcal/mol of atoms: -0.98